1.
{"formula": "Cd2P", "functional": "PBE", "state": "optimized geometry", "crystal_system": "hexagonal", "total_magnetization_mub_per_fu": 0.0, "delta_e_f_ev_per_atom": 0.167, "e_tot_ev_per_atom": -2.246, "cell": [[3.628, -6.284, 0.000], [3.628, 6.284, 0.000], [0.000, 0.000, 4.248]], "species": ["Cd", "Cd", "Cd", "Cd", "Cd", "Cd", "P", "P", "P"], "fractional_positions": [[0.411, 0.411, 0.500], [0.000, 0.262, 0.000], [0.000, 0.589, 0.500], [0.738, 0.738, 0.000], [0.262, 0.000, 0.000], [0.589, 0.000, 0.500], [0.667, 0.333, 0.000], [0.333, 0.667, 0.000], [0.000, 0.000, 0.500]]}

---

2.
{"formula": "BeGeHCl2", "functional": "PBE", "state": "optimized geometry", "crystal_system": "tetragonal", "total_magnetization_mub_per_fu": 1.0, "e_tot_ev_per_atom": -2.728, "cell": [[-2.232, -4.559, -0.887], [3.887, -1.715, -0.969], [0.664, -1.288, 4.945]], "species": ["Cl", "Cl", "Ge", "H", "Be"], "fractional_positions": [[0.000, 0.000, 0.500], [0.500, 0.000, 0.000], [0.000, 0.000, 0.000], [0.500, 0.500, 0.500], [0.000, 0.500, 0.000]]}

---

3.
{"formula": "Pm5NdTl3", "functional": "PBE", "state": "optimized geometry", "crystal_system": "hexagonal", "total_magnetization_mub_per_fu": 2.0, "delta_e_f_ev_per_atom": -0.269, "e_tot_ev_per_atom": -4.226, "cell": [[-0.316, -1.810, -6.661], [-5.702, -7.402, 2.282], [-3.845, 8.550, -2.141]], "species": ["Pm", "Pm", "Pm", "Pm", "Pm", "Pm", "Pm", "Pm", "Pm", "Pm", "Tl", "Tl", "Tl", "Tl", "Tl", "Tl", "Nd", "Nd"], "fractional_positions": [[0.750, 0.668, 0.668], [0.750, 0.332, 0.000], [0.750, 0.000, 0.332], [0.500, 0.667, 0.333], [0.250, 0.668, 0.000], [0.250, 0.000, 0.668], [0.000, 0.333, 0.667], [0.000, 0.667, 0.333], [0.500, 0.333, 0.667], [0.250, 0.332, 0.332], [0.750, 0.000, 0.665], [0.750, 0.335, 0.335], [0.250, 0.000, 0.335], [0.250, 0.665, 0.665], [0.750, 0.665, 0.000], [0.250, 0.335, 0.000], [0.500, 0.000, 0.000], [0.000, 0.000, 0.000]]}

---

4.
{"formula": "NaBeVTe2", "functional": "PBE", "state": "optimized geometry", "crystal_system": "tetragonal", "total_magnetization_mub_per_fu": 0.4, "e_tot_ev_per_atom": -2.700, "cell": [[-1.688, -3.608, -3.684], [3.701, 0.656, -2.339], [2.452, -3.972, 2.766]], "species": ["Te", "Te", "Be", "V", "Na"], "fractional_positions": [[0.500, 0.000, 0.000], [0.000, 0.000, 0.500], [0.000, 0.500, 0.000], [0.500, 0.500, 0.500], [0.000, 0.000, 0.000]]}

---

5.
{"formula": "AcCe2In9", "functional": "PBE", "state": "optimized geometry", "crystal_system": "tetragonal", "total_magnetization_mub_per_fu": 1.6, "delta_e_f_ev_per_atom": -0.400, "e_tot_ev_per_atom": -3.785, "cell": [[4.783, 0.000, 0.000], [0.000, 4.783, 0.000], [0.000, 0.000, 14.333]], "species": ["Ce", "Ce", "In", "In", "In", "In", "In", "In", "In", "In", "In", "Ac"], "fractional_positions": [[0.000, 0.000, 0.339], [0.000, 0.000, 0.661], [0.500, 0.500, 0.000], [0.000, 0.500, 0.176], [0.500, 0.000, 0.176], [0.500, 0.500, 0.337], [0.500, 0.000, 0.824], [0.500, 0.500, 0.663], [0.000, 0.500, 0.500], [0.500, 0.000, 0.500], [0.000, 0.500, 0.824], [0.000, 0.000, 0.000]]}

---

6.
{"formula": "KCrAu2", "functional": "PBE", "state": "optimized geometry", "crystal_system": "cubic", "total_magnetization_mub_per_fu": 4.9, "delta_e_f_ev_per_atom": 0.431, "e_tot_ev_per_atom": -3.888, "cell": [[-4.331, 1.522, -1.948], [-4.306, -1.646, 1.902], [-2.938, 3.102, 2.572]], "species": ["Cr", "K", "Au", "Au"], "fractional_positions": [[0.500, 0.500, 0.500], [0.750, 0.750, 0.750], [0.000, 0.000, 0.000], [0.250, 0.250, 0.250]]}

---

7.
{"formula": "TbPm4Eu", "functional": "PBE", "state": "optimized geometry", "crystal_system": "cubic", "total_magnetization_mub_per_fu": 7.2, "delta_e_f_ev_per_atom": 0.235, "e_tot_ev_per_atom": -5.416, "cell": [[6.785, 0.000, 0.000], [3.392, 5.876, 0.000], [3.392, 1.959, 5.540]], "species": ["Eu", "Pm", "Pm", "Pm", "Pm", "Tb"], "fractional_positions": [[0.250, 0.250, 0.250], [0.627, 0.627, 0.627], [0.627, 0.627, 0.119], [0.627, 0.119, 0.627], [0.119, 0.627, 0.627], [0.000, 0.000, 0.000]]}

---

8.
{"formula": "Pm5Nd4Er", "functional": "PBE", "state": "optimized geometry", "crystal_system": "monoclinic", "total_magnetization_mub_per_fu": 0.0, "delta_e_f_ev_per_atom": 0.015, "e_tot_ev_per_atom": -4.724, "cell": [[3.570, 0.000, -0.778], [-0.151, 7.257, -0.691], [0.985, -0.593, 13.100]], "species": ["Nd", "Nd", "Nd", "Nd", "Er", "Pm", "Pm", "Pm", "Pm", "Pm"], "fractional_positions": [[0.700, 0.100, 0.399], [0.901, 0.702, 0.803], [0.300, 0.900, 0.601], [0.099, 0.298, 0.197], [0.500, 0.000, 0.000], [0.699, 0.600, 0.399], [0.301, 0.400, 0.601], [0.099, 0.801, 0.197], [0.500, 0.500, 0.000], [0.901, 0.199, 0.803]]}

---

9.
{"formula": "SbCl2", "functional": "PBE", "state": "optimized geometry", "crystal_system": "orthorhombic", "total_magnetization_mub_per_fu": 0.0, "e_tot_ev_per_atom": -2.879, "cell": [[5.196, -0.101, 0.055], [1.362, 5.015, -0.055], [-2.466, -3.542, 2.896]], "species": ["Cl", "Cl", "Sb"], "fractional_positions": [[0.684, 0.684, 0.000], [0.316, 0.316, 0.000], [0.000, 0.000, 0.000]]}

---

10.
{"formula": "NaHgBr2", "functional": "PBE", "state": "optimized geometry", "crystal_system": "tetragonal", "total_magnetization_mub_per_fu": 0.0, "e_tot_ev_per_atom": -2.019, "cell": [[6.483, 0.000, 0.000], [0.000, 6.483, 0.000], [3.242, 3.242, 7.372]], "species": ["Br", "Br", "Br", "Br", "Hg", "Hg", "Na", "Na"], "fractional_positions": [[0.875, 0.868, 0.750], [0.618, 0.125, 0.250], [0.132, 0.625, 0.250], [0.375, 0.382, 0.750], [0.750, 0.250, 0.500], [0.000, 0.000, 0.000], [0.500, 0.500, 0.000], [0.250, 0.750, 0.500]]}

---

11.
{"formula": "K2TmCuCl6", "functional": "PBE", "state": "optimized geometry", "crystal_system": "cubic", "total_magnetization_mub_per_fu": 0.1, "e_tot_ev_per_atom": -3.933, "cell": [[7.260, 0.000, 0.000], [3.630, 6.287, 0.000], [3.630, 2.096, 5.928]], "species": ["Tm", "Cu", "Cl", "Cl", "Cl", "Cl", "Cl", "Cl", "K", "K"], "fractional_positions": [[0.000, 0.000, 0.000], [0.500, 0.500, 0.500], [0.253, 0.253, 0.747], [0.253, 0.747, 0.253], [0.253, 0.747, 0.747], [0.747, 0.253, 0.747], [0.747, 0.747, 0.253], [0.747, 0.253, 0.253], [0.250, 0.250, 0.250], [0.750, 0.750, 0.750]]}

---

12.
{"formula": "BeCd2F", "functional": "PBE", "state": "optimized geometry", "crystal_system": "tetragonal", "total_magnetization_mub_per_fu": 0.0, "e_tot_ev_per_atom": -2.148, "cell": [[6.470, 0.000, 0.000], [0.000, 6.470, 0.000], [3.235, 3.235, 3.565]], "species": ["Be", "Be", "Cd", "Cd", "Cd", "Cd", "F", "F"], "fractional_positions": [[0.250, 0.750, 0.500], [0.500, 0.500, 0.000], [0.633, 0.125, 0.250], [0.117, 0.625, 0.250], [0.375, 0.367, 0.750], [0.875, 0.883, 0.750], [0.750, 0.250, 0.500], [0.000, 0.000, 0.000]]}

---

13.
{"formula": "PmMg2Cu", "functional": "PBE", "state": "optimized geometry", "crystal_system": "tetragonal", "total_magnetization_mub_per_fu": 0.0, "delta_e_f_ev_per_atom": -0.031, "e_tot_ev_per_atom": -3.040, "cell": [[-3.000, -1.179, -0.513], [0.592, -2.423, 2.106], [-2.899, 4.681, 6.199]], "species": ["Cu", "Pm", "Mg", "Mg"], "fractional_positions": [[0.500, 0.500, 0.000], [0.500, 0.500, 0.500], [0.000, 0.000, 0.814], [0.000, 0.000, 0.186]]}

---

14.
{"formula": "Ba2Sr12Tl7", "functional": "PBE", "state": "optimized geometry", "crystal_system": "hexagonal", "total_magnetization_mub_per_fu": 0.0, "delta_e_f_ev_per_atom": -0.286, "e_tot_ev_per_atom": -2.219, "cell": [[-0.616, 3.594, 2.521], [-14.059, -4.649, 3.193], [11.561, -4.215, 8.834]], "species": ["Tl", "Tl", "Tl", "Tl", "Tl", "Tl", "Tl", "Sr", "Sr", "Sr", "Sr", "Sr", "Sr", "Sr", "Sr", "Sr", "Sr", "Sr", "Sr", "Ba", "Ba"], "fractional_positions": [[0.000, 0.037, 0.803], [0.000, 0.766, 0.963], [0.500, 0.476, 0.111], [0.500, 0.889, 0.365], [0.000, 0.333, 0.667], [0.000, 0.197, 0.234], [0.500, 0.635, 0.524], [0.000, 0.471, 0.535], [0.000, 0.773, 0.738], [0.000, 0.465, 0.936], [0.500, 0.220, 0.433], [0.500, 0.891, 0.604], [0.000, 0.262, 0.036], [0.500, 0.212, 0.780], [0.500, 0.567, 0.788], [0.000, 0.064, 0.529], [0.500, 0.712, 0.109], [0.000, 0.964, 0.227], [0.500, 0.396, 0.288], [0.000, 0.667, 0.333], [0.500, 0.000, 0.000]]}

---

15.
{"formula": "Sm6TmS8", "functional": "PBE", "state": "optimized geometry", "crystal_system": "cubic", "total_magnetization_mub_per_fu": 0.0, "e_tot_ev_per_atom": -6.444, "cell": [[6.916, 0.000, 3.993], [2.305, 6.520, 3.993], [0.000, 0.000, 7.986]], "species": ["S", "S", "S", "S", "S", "S", "S", "S", "Sm", "Sm", "Sm", "Sm", "Sm", "Sm", "Tm"], "fractional_positions": [[0.757, 0.243, 0.243], [0.757, 0.243, 0.757], [0.243, 0.243, 0.757], [0.243, 0.757, 0.243], [0.243, 0.757, 0.757], [0.757, 0.757, 0.243], [0.750, 0.750, 0.750], [0.250, 0.250, 0.250], [0.000, 0.500, 0.000], [0.500, 0.500, 0.000], [0.500, 0.000, 0.000], [0.500, 0.000, 0.500], [0.000, 0.000, 0.500], [0.000, 0.500, 0.500], [0.000, 0.000, 0.000]]}

---

16.
{"formula": "Rb3Pu3TcS8", "functional": "PBE", "state": "optimized geometry", "crystal_system": "monoclinic", "total_magnetization_mub_per_fu": 2.6, "e_tot_ev_per_atom": -7.216, "cell": [[-2.577, 7.492, 0.258], [-5.135, -5.925, -1.029], [3.351, 0.864, 8.361]], "species": ["S", "S", "S", "S", "S", "S", "S", "S", "Rb", "Rb", "Rb", "Pu", "Pu", "Pu", "Tc"], "fractional_positions": [[0.246, 0.034, 0.322], [0.268, 0.536, 0.306], [0.212, 0.966, 0.678], [0.754, 0.966, 0.678], [0.788, 0.034, 0.322], [0.213, 0.426, 0.677], [0.732, 0.464, 0.694], [0.787, 0.574, 0.323], [0.500, 0.500, 0.000], [0.000, 0.000, 0.000], [0.000, 0.500, 0.000], [0.000, 0.500, 0.500], [0.500, 0.000, 0.500], [0.500, 0.500, 0.500], [0.000, 0.000, 0.500]]}